1.
## TbSm2Pb3 (PBE)

Data for crystalline TbSm2Pb3 at its relaxed geometry.

POSCAR file:
```
TbSm2Pb3
1.0
-1.322 -3.554 4.556
8.601 0.852 0.505
-4.364 7.270 1.748
Sm Pb Tb
4 6 2
Direct
0.250 0.917 0.083
0.750 0.751 0.249
0.250 0.249 0.751
0.750 0.083 0.917
0.497 0.335 0.171
0.500 0.000 0.500
0.003 0.829 0.665
0.000 0.500 0.000
0.997 0.171 0.335
0.503 0.665 0.829
0.250 0.584 0.416
0.750 0.416 0.584
```

Output
* calculated formation energy: -0.47 eV per atom
* D(E_F): 9.1 states/eV/cell
* calculated volume: 30.5 Å³ per atom
* theoretical density: 9.81 g cm⁻³
* symmetry: C2/c (15)
* magnetization: 0.00 Bohr magnetons per cell

***

2.
## TbSmPb2 (PBE)

Data for crystalline TbSmPb2 at its relaxed geometry.

POSCAR file:
```
TbSmPb2
1.0
3.575 0.000 0.000
0.000 3.575 0.000
0.000 0.000 9.038
Pb Sm Tb
2 1 1
Direct
0.000 0.000 0.254
0.000 0.000 0.746
0.500 0.500 0.000
0.500 0.500 0.500
```

Output
* calculated formation energy: -0.47 eV per atom
* D(E_F): 3.9 states/eV/cell
* calculated volume: 28.9 Å³ per atom
* theoretical density: 10.40 g cm⁻³
* symmetry: P4/mmm (123)
* magnetization: 0.00 Bohr magnetons per cell

***

3.
## TbSmPb2 (PBE)

Data for crystalline TbSmPb2 at its relaxed geometry.

POSCAR file:
```
TbSmPb2
1.0
-3.288 -3.504 -0.326
1.306 -4.399 -1.460
0.570 -4.381 5.770
Pb Tb Sm
2 1 1
Direct
0.248 0.248 0.255
0.087 0.087 0.740
0.494 0.494 0.519
0.671 0.671 0.986
```

Output
* calculated formation energy: -0.35 eV per atom
* D(E_F): 2.8 states/eV/cell
* calculated volume: 33.7 Å³ per atom
* theoretical density: 8.91 g cm⁻³
* symmetry: R3m (160)
* magnetization: 0.00 Bohr magnetons per cell

***

4.
## Tb2SmPb (PBE)

Data for crystalline Tb2SmPb at its relaxed geometry.

POSCAR file:
```
Tb2SmPb
1.0
3.625 0.000 0.000
1.812 3.139 0.000
1.812 1.046 11.068
Tb Sm Pb
2 1 1
Direct
0.079 0.079 0.762
0.254 0.254 0.237
0.500 0.500 0.500
0.667 0.667 0.000
```

Output
* calculated formation energy: -0.15 eV per atom
* D(E_F): 3.8 states/eV/cell
* calculated volume: 31.5 Å³ per atom
* theoretical density: 8.91 g cm⁻³
* symmetry: R3m (160)
* magnetization: 0.00 Bohr magnetons per cell

***

5.
## Tb14SmPb (PBE)

Data for crystalline Tb14SmPb at its relaxed geometry.

POSCAR file:
```
Tb14SmPb
1.0
-1.757 -0.521 -6.713
1.097 -6.527 2.148
-10.499 -0.839 2.813
Tb Pb Sm
14 1 1
Direct
0.893 0.708 0.500
0.156 0.844 0.780
0.292 0.107 0.500
0.592 0.408 0.277
0.865 0.543 0.000
0.664 0.919 0.756
0.457 0.135 0.000
0.156 0.844 0.220
0.664 0.919 0.244
0.081 0.336 0.756
0.364 0.636 0.500
0.081 0.336 0.244
0.592 0.408 0.723
0.813 0.187 0.500
0.939 0.061 0.000
0.390 0.610 0.000
```

Output
* calculated formation energy: -0.03 eV per atom
* D(E_F): 23.0 states/eV/cell
* calculated volume: 31.8 Å³ per atom
* theoretical density: 8.43 g cm⁻³
* symmetry: Amm2 (38)
* magnetization: 0.00 Bohr magnetons per cell

***

6.
## Tb6Sm8Pb (PBE)

Data for crystalline Tb6Sm8Pb at its relaxed geometry.

POSCAR file:
```
Tb6Sm8Pb
1.0
-1.554 -3.211 -5.512
7.131 -5.874 1.411
-8.434 -1.958 3.519
Tb Sm Pb
6 8 1
Direct
0.333 0.095 0.447
0.333 0.352 0.905
0.667 0.905 0.553
0.667 0.648 0.095
0.667 0.447 0.352
0.333 0.553 0.648
0.178 0.961 0.729
0.178 0.271 0.232
0.822 0.729 0.768
0.857 0.333 0.667
0.143 0.667 0.333
0.822 0.232 0.961
0.178 0.768 0.039
0.822 0.039 0.271
0.500 0.000 0.000
```

Output
* calculated formation energy: 0.07 eV per atom
* D(E_F): 21.1 states/eV/cell
* calculated volume: 33.1 Å³ per atom
* theoretical density: 7.90 g cm⁻³
* symmetry: P-3 (147)
* magnetization: 0.00 Bohr magnetons per cell

***

7.
## TbSm2Pb (PBE)

Data for crystalline TbSm2Pb at its relaxed geometry.

POSCAR file:
```
TbSm2Pb
1.0
-3.400 0.941 0.587
-1.620 -0.954 3.043
2.102 10.357 6.470
Sm Tb Pb
2 1 1
Direct
0.088 0.088 0.736
0.912 0.912 0.264
0.500 0.500 0.500
0.000 0.000 0.000
```

Output
* calculated formation energy: 0.04 eV per atom
* D(E_F): 3.7 states/eV/cell
* calculated volume: 33.8 Å³ per atom
* theoretical density: 8.18 g cm⁻³
* symmetry: R-3m (166)
* magnetization: 0.00 Bohr magnetons per cell

***

8.
## TbSmPb (PBE)

Data for crystalline TbSmPb at its relaxed geometry.

POSCAR file:
```
TbSmPb
1.0
-0.911 -0.754 3.603
-0.509 -5.162 -1.208
4.710 1.911 1.591
Pb Sm Tb
1 1 1
Direct
0.692 0.667 0.333
0.383 0.333 0.667
0.925 0.000 0.000
```

Output
* calculated formation energy: -0.21 eV per atom
* D(E_F): 4.0 states/eV/cell
* calculated volume: 31.0 Å³ per atom
* theoretical density: 9.21 g cm⁻³
* symmetry: P3m1 (156)
* magnetization: 0.00 Bohr magnetons per cell

***

9.
## TbSm2Pb (PBE)

Data for crystalline TbSm2Pb at its relaxed geometry.

POSCAR file:
```
TbSm2Pb
1.0
4.949 0.000 0.000
0.000 4.901 0.000
0.000 0.000 4.901
Sm Tb Pb
2 1 1
Direct
0.000 0.000 0.500
0.000 0.500 0.000
0.500 0.500 0.500
0.500 0.000 0.000
```

Output
* calculated formation energy: -0.31 eV per atom
* D(E_F): 4.8 states/eV/cell
* calculated volume: 29.7 Å³ per atom
* theoretical density: 9.31 g cm⁻³
* symmetry: P4/mmm (123)
* magnetization: 0.00 Bohr magnetons per cell

***

10.
## TbSm3Pb5 (PBE)

Data for crystalline TbSm3Pb5 at its relaxed geometry.

POSCAR file:
```
TbSm3Pb5
1.0
-4.691 4.639 -0.042
-6.162 -6.194 4.126
5.559 5.672 5.503
Pb Sm Tb
10 6 2
Direct
0.500 0.667 0.333
0.250 0.714 0.714
0.750 0.000 0.714
0.750 0.714 0.000
0.250 0.286 0.000
0.000 0.333 0.667
0.000 0.667 0.333
0.500 0.333 0.667
0.750 0.286 0.286
0.250 0.000 0.286
0.250 0.619 0.000
0.750 0.000 0.381
0.750 0.381 0.000
0.250 0.381 0.381
0.750 0.619 0.619
0.250 0.000 0.619
0.500 0.000 0.000
0.000 0.000 0.000
```

Output
* calculated formation energy: -0.46 eV per atom
* D(E_F): 17.9 states/eV/cell
* calculated volume: 29.6 Å³ per atom
* theoretical density: 10.25 g cm⁻³
* symmetry: P6_3/mcm (193)
* magnetization: 0.00 Bohr magnetons per cell

***

11.
## TbSm8Pb6 (PBE)

Data for crystalline TbSm8Pb6 at its relaxed geometry.

POSCAR file:
```
TbSm8Pb6
1.0
9.336 0.000 0.000
4.668 8.086 0.000
4.668 2.695 6.651
Pb Sm Tb
6 8 1
Direct
0.601 0.931 0.206
0.738 0.399 0.794
0.262 0.601 0.206
0.069 0.738 0.794
0.931 0.262 0.206
0.399 0.069 0.794
0.897 0.561 0.310
0.333 0.333 0.000
0.231 0.897 0.310
0.439 0.769 0.690
0.769 0.103 0.690
0.667 0.667 0.000
0.561 0.231 0.310
0.103 0.439 0.690
0.000 0.000 0.000
```

Output
* calculated formation energy: -0.38 eV per atom
* D(E_F): 11.1 states/eV/cell
* calculated volume: 33.5 Å³ per atom
* theoretical density: 8.62 g cm⁻³
* symmetry: R-3 (148)
* magnetization: 0.00 Bohr magnetons per cell

***

12.
## TbSmPb2 (PBE)

Data for crystalline TbSmPb2 at its relaxed geometry.

POSCAR file:
```
TbSmPb2
1.0
4.090 0.000 0.000
2.045 3.542 0.000
2.045 1.181 8.724
Sm Pb Tb
1 2 1
Direct
0.000 0.000 0.000
0.751 0.751 0.746
0.249 0.249 0.254
0.500 0.500 0.500
```

Output
* calculated formation energy: -0.38 eV per atom
* D(E_F): 3.3 states/eV/cell
* calculated volume: 31.6 Å³ per atom
* theoretical density: 9.51 g cm⁻³
* symmetry: R-3m (166)
* magnetization: 0.00 Bohr magnetons per cell